Entry 1:
The following is a DFT calculation (PBE) of an optimized crystal structure of Na2Tm2TeS6.

## Properties
- crystal system = monoclinic

Lattice parameters (Å, degrees): 6.786 11.723 7.128 90.00 107.71 90.00
Space group C2/m (No. 12)
One atom of each set of equivalent atoms:
1 Na 0.000 0.163 0.000 x4
2 Tm 0.000 0.334 0.500 x4
3 Te 0.000 0.000 0.500 x2
4 S 0.233 0.166 0.718 x8
5 S 0.244 0.500 0.719 x4

Entry 2:
The following is a DFT calculation (PBE) of an optimized crystal structure of KSi3B.

## Properties
- ΔE to the lowest computed polymorph (eV per atom) = 2.030
- crystal system = cubic

Lattice parameters (Å, degrees): 5.416 5.416 5.416 90.00 90.00 90.00
Space group Pm-3m (No. 221)
One atom of each set of equivalent atoms:
1 K 0.000 0.000 0.000 x1
2 Si 0.000 0.000 0.500 x3
3 B 0.500 0.500 0.500 x1

Entry 3:
The following is a DFT calculation (PBE) of an optimized crystal structure of SmEr2TcN4.

## Properties
- crystal system = orthorhombic

Lattice parameters (Å, degrees): 3.427 11.593 11.504 90.00 90.00 90.00
Space group Cmcm (No. 63)
One atom of each set of equivalent atoms:
1 Sm 0.000 0.126 0.250 x4
2 Er 0.000 0.369 0.040 x8
3 Tc 0.000 0.138 0.750 x4
4 N 0.000 0.000 0.000 x4
5 N 0.000 0.263 0.627 x8
6 N 0.000 0.445 0.250 x4

One value per record, in order, for volume: 540.1 158.9 457.0 Å³ per cell.
One value per record, in order, for E_form (uncorrected): -1.312 2.922 -1.124 eV/atom.
One value per record, in order, for calculated total energy: -4.902 -1.887 -8.313 eV/atom.